(1)
VASP calculation (PBE) on an optimized crystal structure of SmThSc.

Cell lengths 6.8915, 10.9943, 9.5271 Å; angles 90.00, 90.00, 90.00 degrees
With the nearest neighbours (Å) after each atom.
Space group Cmce (No. 64)
Inequivalent atoms, fractional coordinates:
Sm (0.0000, 0.1271, 0.0877) x8  4 Sc 3.17-3.45, 1 Sm 3.26
Th (0.2500, 0.1244, 0.7500) x8  2 Th 3.45, 6 Sc 3.58-3.65, 6 Sm 3.58-3.65
Sc (0.0000, 0.1226, 0.4209) x8  1 Sc 3.09, 4 Sm 3.17-3.45

---

(2)
VASP calculation (PBE) on an optimized crystal structure of SmThSc3.

Cell lengths 3.4148, 15.6430, 11.0672 Å; angles 90.00, 90.02, 90.00 degrees
With the nearest neighbours (Å) after each atom.
Space group C2/m (No. 12)
Inequivalent atoms, fractional coordinates:
Sm (0.0000, 0.1378, 0.0000) x4  6 Sc 3.30-3.62, 2 Sm 3.41
Th (0.0000, 0.1450, 0.5000) x4  6 Sc 3.26-3.47, 2 Th 3.41
Sc (0.0012, 0.3304, 0.7488) x8  4 Sc 3.04-3.16, 2 Th 3.26, 2 Sm 3.30
Sc (0.0037, 0.0000, 0.7377) x4  6 Sc 3.15-3.41, 2 Th 3.47

---

(3)
VASP calculation (PBE) on an optimized crystal structure of Sm5Th2Sc4.

Cell lengths 3.3878, 11.1630, 17.9700 Å; angles 90.00, 90.00, 90.00 degrees
With the nearest neighbours (Å) after each atom.
Space group Immm (No. 71)
Inequivalent atoms, fractional coordinates:
Sm (0.0000, 0.0000, 0.0000) x2  2 Sm 3.39, 4 Sc 3.59
Sm (0.0000, 0.2071, 0.3267) x8  3 Sc 3.12-3.29, 1 Th 3.30, 4 Sm 3.37-3.39
Th (0.0000, 0.5000, 0.3004) x4  6 Sm 3.30-3.66, 2 Th 3.39
Sc (0.0000, 0.2162, 0.5000) x4  2 Sm 3.12, 6 Sc 3.31-3.39
Sc (0.0000, 0.5000, 0.0832) x4  5 Sc 2.99-3.31, 4 Sm 3.29

---

(4)
VASP calculation (PBE) on an optimized crystal structure of SmTh3Sc4.

Cell lengths 10.5765, 7.8560, 5.5293 Å; angles 90.00, 90.00, 90.00 degrees
With the nearest neighbours (Å) after each atom.
Space group Pmn2_1 (No. 31)
Inequivalent atoms, fractional coordinates:
Sm (0.0000, 0.1472, 0.0000) x2  5 Sc 3.34-3.57, 6 Th 3.51-3.61
Th (0.0000, 0.8586, 0.4926) x2  5 Sc 3.30-3.56, 4 Th 3.49-3.61, 2 Sm 3.54-3.61
Th (0.2494, 0.8558, 0.9372) x4  5 Sc 3.30-3.58, 4 Th 3.49-3.61, 2 Sm 3.51-3.59
Sc (0.0000, 0.4064, 0.5207) x2  6 Sc 3.10-3.40, 1 Sm 3.34, 2 Th 3.39
Sc (0.0000, 0.6009, 0.0222) x2  6 Sc 3.13-3.38, 3 Th 3.30-3.34
Sc (0.2504, 0.4041, 0.9049) x4  6 Sc 3.10-3.40, 2 Th 3.30-3.39, 1 Sm 3.37

---

(5)
VASP calculation (PBE) on an optimized crystal structure of SmTh2Sc2.

Cell lengths 14.2280, 6.8807, 6.0637 Å; angles 90.00, 98.56, 90.00 degrees
With the nearest neighbours (Å) after each atom.
Space group P2_1/c (No. 14)
Inequivalent atoms, fractional coordinates:
Sm (0.2009, 0.1206, 0.1460) x4  5 Sc 3.39-3.52, 5 Th 3.43-3.53, 2 Sm 3.52
Th (0.0031, 0.6245, 0.7567) x4  3 Sc 3.42-3.49, 6 Th 3.42-3.54, 3 Sm 3.43-3.51
Th (0.4036, 0.1252, 0.5582) x4  7 Sc 3.37-3.58, 3 Th 3.40-3.48, 2 Sm 3.48-3.53
Sc (0.2009, 0.6278, 0.1531) x4  4 Sm 3.39-3.52, 4 Th 3.42-3.49, 4 Sc 3.43-3.47
Sc (0.4021, 0.6295, 0.5425) x4  6 Th 3.37-3.58, 5 Sc 3.41-3.46, 1 Sm 3.48

---

(6)
VASP calculation (PBE) on an optimized crystal structure of Sm2Th2Sc15.

Cell lengths 10.7043, 10.7043, 15.7998 Å; angles 90.00, 90.00, 120.00 degrees
With the nearest neighbours (Å) after each atom.
Space group R-3m (No. 166, hexagonal axes)
Inequivalent atoms, fractional coordinates:
Sm (0.0000, 0.0000, 0.1114) x6  6 Sc 3.21-3.37, 1 Sm 3.52
Th (0.0000, 0.0000, 0.3542) x6  12 Sc 3.56-3.74, 1 Sm 3.84
Sc (0.0000, 0.3382, 0.0000) x18  7 Sc 3.16-3.46
Sc (0.0000, 0.5000, 0.5000) x9  8 Sc 3.18-3.20, 2 Sm 3.21
Sc (0.0193, 0.5097, 0.1695) x18  8 Sc 2.91-3.19

---

(7)
VASP calculation (PBE) on an optimized crystal structure of SmTh2Sc8.

Cell lengths 8.5691, 15.3163, 5.6108 Å; angles 90.00, 125.11, 90.00 degrees
With the nearest neighbours (Å) after each atom.
Space group C2/m (No. 12)
Inequivalent atoms, fractional coordinates:
Sm (0.0000, 0.0000, 0.0000) x2  4 Sc 3.19-3.24
Th (0.0000, 0.3058, 0.5000) x4  10 Sc 3.18-3.53
Sc (0.0000, 0.2082, 0.0000) x4  4 Th 3.18-3.53, 1 Sm 3.19, 6 Sc 3.32-3.49
Sc (0.0605, 0.5000, 0.7904) x4  4 Sc 2.79-3.07
Sc (0.2199, 0.1187, 0.6910) x8  4 Sc 3.00-3.32, 2 Th 3.25-3.35

---

(8)
VASP calculation (PBE) on an optimized crystal structure of SmTh2Sc2.

Cell lengths 8.8117, 15.6776, 5.6381 Å; angles 90.00, 129.40, 90.00 degrees
With the nearest neighbours (Å) after each atom.
Space group C2/c (No. 15)
Inequivalent atoms, fractional coordinates:
Sm (0.0000, 0.1224, 0.2500) x4  6 Sc 3.35-3.49, 5 Th 3.42-3.72
Th (0.0000, 0.2514, 0.7500) x4  4 Th 3.29-3.40, 4 Sc 3.39-3.50, 2 Sm 3.47
Th (0.0000, 0.3597, 0.2500) x4  2 Th 3.29, 2 Sm 3.42, 6 Sc 3.49-3.52
Sc (0.2393, 0.4411, 0.9886) x8  4 Sc 3.26-3.55, 3 Sm 3.35-3.49, 5 Th 3.39-3.52

---

(9)
VASP calculation (PBE) on an optimized crystal structure of SmTh2Sc6.

Cell lengths 9.2153, 9.2153, 3.3327 Å; angles 90.00, 90.00, 120.00 degrees
With the nearest neighbours (Å) after each atom.
Space group P6/mmm (No. 191)
Inequivalent atoms, fractional coordinates:
Sm (0.0000, 0.0000, 0.0000) x1  2 Sm 3.33, 12 Sc 3.51
Th (0.3333, 0.6667, 0.0000) x2  2 Th 3.33, 12 Sc 3.49
Sc (0.0000, 0.3350, 0.5000) x6  5 Sc 3.04-3.33

---

(10)
VASP calculation (PBE) on an optimized crystal structure of Sm2ThSc2.

Cell lengths 3.5128, 3.5128, 24.0250 Å; angles 90.00, 90.00, 90.00 degrees
With the nearest neighbours (Å) after each atom.
Space group I4/mmm (No. 139)
Inequivalent atoms, fractional coordinates:
Sm (0.0000, 0.0000, 0.1956) x4  4 Sc 3.49, 8 Sm 3.51-3.61
Th (0.0000, 0.0000, 0.0000) x2  8 Sc 3.35, 4 Th 3.51
Sc (0.0000, 0.0000, 0.4063) x4  4 Th 3.35, 4 Sm 3.49, 4 Sc 3.51

---

(11)
VASP calculation (PBE) on an optimized crystal structure of Sm2ThSc7.

Cell lengths 6.1086, 27.2979, 3.3147 Å; angles 90.00, 90.00, 90.00 degrees
With the nearest neighbours (Å) after each atom.
Space group Cmmm (No. 65)
Inequivalent atoms, fractional coordinates:
Sm (0.0000, 0.2090, 0.0000) x4  2 Sm 3.31, 8 Sc 3.41-3.55
Th (0.0000, 0.5000, 0.5000) x2  2 Th 3.31, 12 Sc 3.47-3.48
Sc (0.0000, 0.0000, 0.0000) x2  6 Sc 3.09-3.31
Sc (0.0000, 0.3183, 0.5000) x4  6 Sc 3.20-3.31, 6 Sm 3.41-3.55
Sc (0.2455, 0.4022, 0.0000) x8  7 Sc 3.00-3.31

---

(12)
VASP calculation (PBE) on an optimized crystal structure of SmThSc2.

Cell lengths 3.5035, 3.5035, 9.3140 Å; angles 90.00, 90.00, 90.00 degrees
With the nearest neighbours (Å) after each atom.
Space group P4/mmm (No. 123)
Inequivalent atoms, fractional coordinates:
Sm (0.0000, 0.0000, 0.0000) x1  8 Sc 3.44, 4 Sm 3.50
Th (0.0000, 0.0000, 0.5000) x1  8 Sc 3.36, 4 Th 3.50
Sc (0.5000, 0.5000, 0.2566) x2  4 Th 3.36, 4 Sm 3.44, 4 Sc 3.50

---

no.,raw total energy (eV per atom),spin magnetization (μB per formula unit),E_form (kJ/mol of atoms)
1,-6.09,0.00,6.43
2,-5.97,0.00,24.97
3,-5.55,0.00,23.58
4,-6.45,0.00,8.52
5,-6.39,0.00,5.44
6,-6.02,0.00,24.78
7,-6.19,0.00,18.31
8,-6.27,0.00,16.51
9,-6.36,0.00,3.69
10,-5.87,0.00,3.24
11,-5.96,0.00,14.78
12,-6.18,0.00,2.36